Material: TaTl2Br
Method: DFT, GGA-PBE
State: optimized geometry

- M_tot: 0.542 μB per atom
- Excess energy over the best structure of this formula in the dataset: 788 meV per atom
- Calculated total energy: -3.71 eV per atom
- Mass density: 11.14 g/cm3

Unit cell a=5.2061 b=5.2061 c=5.2061 alpha=60.00 beta=60.00 gamma=60.00
Last column: nearest neighbours and their distance in Å.
Fractional positions:
Ta: 0.0000 0.0000 0.0000  4 Tl 3.19, 4 Br 3.19
Tl: 0.2500 0.2500 0.2500  4 Tl 3.19, 4 Ta 3.19
Tl: 0.5000 0.5000 0.5000  4 Tl 3.19, 4 Br 3.19
Br: 0.7500 0.7500 0.7500  4 Tl 3.19, 4 Ta 3.19

---

Material: V2Br3Cl
Method: DFT, GGA-PBE
State: optimized geometry

- M_tot: 1.000 μB per atom
- Calculated total energy: -5.07 eV per atom
- Mass density: 3.77 g/cm3

Unit cell a=8.8097 b=8.8097 c=13.1008 alpha=127.91 beta=127.91 gamma=24.83
Last column: nearest neighbours and their distance in Å.
Fractional positions:
V: 0.2454 0.2454 0.1230  2 Cl 2.51, 4 Br 2.64
V: 0.2551 0.2551 0.6307  1 Cl 2.49, 5 Br 2.64-2.65
V: 0.7449 0.7449 0.3693  1 Cl 2.49, 5 Br 2.64-2.65
V: 0.7546 0.7546 0.8770  2 Cl 2.51, 4 Br 2.64
Br: 0.1329 0.1329 0.1959  3 V 2.64
Br: 0.3574 0.3574 0.5422  3 V 2.64-2.65
Br: 0.3606 0.3606 0.0548  3 V 2.64
Br: 0.6394 0.6394 0.9452  3 V 2.64
Br: 0.6426 0.6426 0.4578  3 V 2.64-2.65
Br: 0.8671 0.8671 0.8041  3 V 2.64
Cl: 0.1610 0.1610 0.7174  3 V 2.49-2.51
Cl: 0.8390 0.8390 0.2826  3 V 2.49-2.51

---

Material: MgIn3Fe
Method: DFT, GGA-PBE
State: optimized geometry

- M_tot: 0.000 μB per atom
- Excess energy over the best structure of this formula in the dataset: 0 meV per atom
- Formation enthalpy at 0 K: 1.19 eV/f.u.
- Calculated total energy: -3.42 eV per atom
- Mass density: 5.66 g/cm3

Unit cell a=4.9934 b=4.9934 c=4.9934 alpha=90.00 beta=90.00 gamma=90.00
Last column: nearest neighbours and their distance in Å.
Fractional positions:
Mg: 0.0000 0.0000 0.0000  12 In 3.53
In: 0.0000 0.5000 0.5000  2 Fe 2.50
In: 0.5000 0.0000 0.5000  2 Fe 2.50
In: 0.5000 0.5000 0.0000  2 Fe 2.50
Fe: 0.5000 0.5000 0.5000  6 In 2.50

---

Material: TlHg2GeAu
Method: DFT, GGA-PBE
State: optimized geometry

- M_tot: 0.000 μB per atom
- Formation enthalpy at 0 K: 0.77 eV/f.u.
- Calculated total energy: -2.02 eV per atom
- Mass density: 10.03 g/cm3

Unit cell a=5.3433 b=5.3433 c=5.0743 alpha=90.00 beta=90.00 gamma=90.00
Last column: nearest neighbours and their distance in Å.
Fractional positions:
Tl: 0.0000 0.0000 0.0000  8 Hg 3.68, 4 Au 3.78
Hg: 0.0000 0.5000 0.5000  2 Ge 2.67
Hg: 0.5000 0.0000 0.5000  2 Ge 2.67
Ge: 0.5000 0.5000 0.5000  2 Au 2.54, 4 Hg 2.67
Au: 0.5000 0.5000 0.0000  2 Ge 2.54

---

Material: BaZn2B2O6
Method: DFT, GGA-PBE
State: optimized geometry

- M_tot: 0.000 μB per atom
- Excess energy over the best structure of this formula in the dataset: 0 meV per atom
- Calculated total energy: -6.55 eV per atom
- Mass density: 4.39 g/cm3

Unit cell a=4.9826 b=9.5687 c=12.2287 alpha=90.00 beta=90.00 gamma=90.00
Last column: nearest neighbours and their distance in Å.
Fractional positions:
Ba: 0.0317 0.0973 0.2691  6 O 2.74-2.88
Ba: 0.4683 0.9027 0.7691  6 O 2.74-2.88
Ba: 0.5317 0.4027 0.7309  6 O 2.74-2.88
Ba: 0.9683 0.5973 0.2309  6 O 2.74-2.88
Zn: 0.0499 0.1321 0.6034  4 O 1.96-2.01
Zn: 0.0578 0.3415 0.0316  4 O 1.96-2.00
Zn: 0.4422 0.6585 0.5316  4 O 1.96-2.00
Zn: 0.4501 0.8679 0.1034  4 O 1.96-2.01
Zn: 0.5499 0.3679 0.3966  4 O 1.96-2.01
Zn: 0.5578 0.1585 0.9684  4 O 1.96-2.00
Zn: 0.9422 0.8415 0.4684  4 O 1.96-2.00
Zn: 0.9501 0.6321 0.8966  4 O 1.96-2.01
B: 0.0409 0.1670 0.8330  3 O 1.37-1.41
B: 0.0611 0.4111 0.5088  3 O 1.37-1.43
B: 0.4389 0.5889 0.0088  3 O 1.37-1.43
B: 0.4591 0.8330 0.3330  3 O 1.37-1.41
B: 0.5409 0.3330 0.1670  3 O 1.37-1.41
B: 0.5611 0.0889 0.4912  3 O 1.37-1.43
B: 0.9389 0.9111 0.9912  3 O 1.37-1.43
B: 0.9591 0.6670 0.6670  3 O 1.37-1.41
O: 0.0328 0.8333 0.9044  1 B 1.38
O: 0.0865 0.5922 0.7473  1 B 1.37
O: 0.0876 0.9421 0.0824  1 B 1.37
O: 0.1118 0.7477 0.5928  1 B 1.41
O: 0.1688 0.5393 0.0145  1 B 1.43
O: 0.1822 0.8289 0.3404  1 B 1.38
O: 0.3178 0.1711 0.8404  1 B 1.38
O: 0.3312 0.4607 0.5145  1 B 1.43
O: 0.3882 0.2523 0.0928  1 B 1.41
O: 0.4124 0.0579 0.5824  1 B 1.37
O: 0.4135 0.4078 0.2473  1 B 1.37
O: 0.4672 0.1667 0.4044  1 B 1.38
O: 0.5328 0.6667 0.0956  1 B 1.38
O: 0.5865 0.9078 0.2527  1 B 1.37
O: 0.5876 0.5579 0.9176  1 B 1.37
O: 0.6118 0.7523 0.4072  1 B 1.41
O: 0.6688 0.9607 0.9855  1 B 1.43
O: 0.6822 0.6711 0.6596  1 B 1.38
O: 0.8178 0.3289 0.1596  1 B 1.38
O: 0.8312 0.0393 0.4855  1 B 1.43
O: 0.8882 0.2477 0.9072  1 B 1.41
O: 0.9124 0.4421 0.4176  1 B 1.37
O: 0.9135 0.0922 0.7527  1 B 1.37
O: 0.9672 0.3333 0.5956  1 B 1.38

---

Material: Zn5CuPt
Method: DFT, GGA-PBE
State: optimized geometry

- M_tot: 0.000 μB per atom
- Formation enthalpy at 0 K: -0.75 eV/f.u.
- Calculated total energy: -2.47 eV per atom
- Mass density: 8.87 g/cm3

Unit cell a=5.9976 b=5.9976 c=6.9821 alpha=109.80 beta=109.80 gamma=74.77
Last column: nearest neighbours and their distance in Å.
Fractional positions:
Zn: 0.0709 0.9291 0.7500  6 Zn 2.57-2.79, 2 Cu 2.62, 1 Pt 2.63
Zn: 0.1184 0.3019 0.0694  5 Zn 2.57-2.79, 1 Cu 2.59, 2 Pt 2.64-2.70
Zn: 0.3019 0.1184 0.5694  5 Zn 2.57-2.79, 1 Cu 2.59, 2 Pt 2.64-2.70
Zn: 0.3026 0.5280 0.8586  1 Cu 2.53, 5 Zn 2.55-2.66, 2 Pt 2.59-2.69
Zn: 0.4720 0.6974 0.6414  1 Cu 2.53, 5 Zn 2.55-2.66, 2 Pt 2.59-2.69
Zn: 0.5280 0.3026 0.3586  1 Cu 2.53, 5 Zn 2.55-2.66, 2 Pt 2.59-2.69
Zn: 0.6974 0.4720 0.1414  1 Cu 2.53, 5 Zn 2.55-2.66, 2 Pt 2.59-2.69
Zn: 0.6981 0.8816 0.4306  5 Zn 2.57-2.79, 1 Cu 2.59, 2 Pt 2.64-2.70
Zn: 0.8816 0.6981 0.9306  5 Zn 2.57-2.79, 1 Cu 2.59, 2 Pt 2.64-2.70
Zn: 0.9291 0.0709 0.2500  6 Zn 2.57-2.79, 2 Cu 2.62, 1 Pt 2.63
Cu: 0.0000 0.5000 0.5000  6 Zn 2.53-2.62
Cu: 0.5000 0.0000 0.0000  6 Zn 2.53-2.62
Pt: 0.2907 0.7093 0.2500  9 Zn 2.59-2.70
Pt: 0.7093 0.2907 0.7500  9 Zn 2.59-2.70

---

Material: SbPIr2
Method: DFT, GGA-PBE
State: optimized geometry

- M_tot: 0.000 μB per atom
- Excess energy over the best structure of this formula in the dataset: 66 meV per atom
- Calculated total energy: -7.02 eV per atom
- Mass density: 12.34 g/cm3

Unit cell a=4.2513 b=4.2513 c=5.5902 alpha=96.81 beta=96.81 gamma=46.15
Last column: nearest neighbours and their distance in Å.
Fractional positions:
Sb: 0.0000 0.0000 0.0000  5 Ir 2.67-2.82
P: 0.1953 0.1953 0.5430  5 Ir 2.30-2.34
Ir: 0.4924 0.4924 0.5926  3 P 2.30-2.34
Ir: 0.7371 0.7371 0.2616  2 P 2.34

---

Material: Cd4As2P
Method: DFT, GGA-PBE
State: optimized geometry

- M_tot: 0.000 μB per atom
- Formation enthalpy at 0 K: -0.15 eV/f.u.
- Calculated total energy: -2.65 eV per atom
- Mass density: 5.78 g/cm3

Unit cell a=7.9980 b=7.9980 c=7.9980 alpha=119.90 beta=119.90 gamma=90.17
Last column: nearest neighbours and their distance in Å.
Fractional positions:
Cd: 0.2533 0.2615 0.5081  1 P 2.52, 3 As 2.79
Cd: 0.2533 0.7452 0.9919  1 P 2.52, 3 As 2.79
Cd: 0.2548 0.7467 0.5081  1 P 2.52, 3 As 2.79
Cd: 0.2615 0.2533 0.0081  1 P 2.52, 3 As 2.79
Cd: 0.7385 0.7467 0.9919  1 P 2.52, 3 As 2.79
Cd: 0.7452 0.2533 0.4919  1 P 2.52, 3 As 2.79
Cd: 0.7467 0.2548 0.0081  1 P 2.52, 3 As 2.79
Cd: 0.7467 0.7385 0.4919  1 P 2.52, 3 As 2.79
As: 0.0000 0.5000 0.5000  6 Cd 2.79
As: 0.5000 0.0000 0.0000  6 Cd 2.79
As: 0.5000 0.5000 0.0000  6 Cd 2.79
As: 0.5000 0.5000 0.5000  6 Cd 2.79
P: 0.1250 0.8750 0.2500  4 Cd 2.52
P: 0.8750 0.1250 0.7500  4 Cd 2.52

---

Material: Cr2CoTcPb
Method: DFT, GGA-PBE
State: optimized geometry

- M_tot: 1.035 μB per atom
- Formation enthalpy at 0 K: 4.98 eV/f.u.
- Calculated total energy: -7.09 eV per atom
- Mass density: 8.58 g/cm3

Unit cell a=4.5098 b=4.5098 c=4.4550 alpha=90.00 beta=90.00 gamma=90.00
Last column: nearest neighbours and their distance in Å.
Fractional positions:
Cr: 0.0000 0.5000 0.0000  2 Co 2.25
Cr: 0.5000 0.0000 0.0000  2 Co 2.25
Co: 0.0000 0.0000 0.0000  2 Tc 2.23, 4 Cr 2.25
Tc: 0.0000 0.0000 0.5000  2 Co 2.23
Pb: 0.5000 0.5000 0.5000  8 Cr 3.17, 4 Tc 3.19

---

Material: ZrV3B
Method: DFT, GGA-PBE
State: optimized geometry

- M_tot: 0.001 μB per atom
- Excess energy over the best structure of this formula in the dataset: 2447 meV per atom
- Formation enthalpy at 0 K: 12.41 eV/f.u.
- Calculated total energy: -6.03 eV per atom
- Mass density: 4.48 g/cm3

Unit cell a=4.5545 b=4.5545 c=4.5545 alpha=90.00 beta=90.00 gamma=90.00
Last column: nearest neighbours and their distance in Å.
Fractional positions:
Zr: 0.0000 0.0000 0.0000  6 V 2.28
V: 0.0000 0.0000 0.5000  2 Zr 2.28
V: 0.0000 0.5000 0.0000  2 Zr 2.28
V: 0.5000 0.0000 0.0000  2 Zr 2.28
B: 0.5000 0.5000 0.5000  12 V 3.22

---

Material: LaInGa2Ni5
Method: DFT, GGA-PBE
State: optimized geometry

- M_tot: 0.000 μB per atom
- Formation enthalpy at 0 K: -0.65 eV/f.u.
- Calculated total energy: -4.81 eV per atom
- Mass density: 7.80 g/cm3

Unit cell a=4.4387 b=4.4387 c=7.4202 alpha=90.00 beta=90.00 gamma=90.00
Last column: nearest neighbours and their distance in Å.
Fractional positions:
La: 0.0000 0.0000 0.0000  12 Ni 2.87-3.14
In: 0.0000 0.0000 0.5000  8 Ni 2.92
Ga: 0.5000 0.5000 0.3318  5 Ni 2.31-2.46, 1 Ga 2.50
Ga: 0.5000 0.5000 0.6682  5 Ni 2.31-2.46, 1 Ga 2.50
Ni: 0.0000 0.5000 0.2444  2 Ga 2.31
Ni: 0.0000 0.5000 0.7556  2 Ga 2.31
Ni: 0.5000 0.0000 0.2444  2 Ga 2.31
Ni: 0.5000 0.0000 0.7556  2 Ga 2.31
Ni: 0.5000 0.5000 0.0000  2 Ga 2.46

---

Material: LiCaOsI2
Method: DFT, GGA-PBE
State: optimized geometry

- M_tot: 0.609 μB per atom
- Calculated total energy: -2.88 eV per atom
- Mass density: 5.32 g/cm3

Unit cell a=5.1259 b=5.1259 c=5.8323 alpha=90.00 beta=90.00 gamma=90.00
Last column: nearest neighbours and their distance in Å.
Fractional positions:
Li: 0.0000 0.0000 0.0000  4 I 2.56
Ca: 0.0000 0.0000 0.5000  2 Li 2.92
Os: 0.5000 0.5000 0.5000  4 Ca 3.62, 8 I 3.88
I: 0.0000 0.5000 0.0000  2 Li 2.56
I: 0.5000 0.0000 0.0000  2 Li 2.56

---

The lowest mass density belongs to which entry? V2Br3Cl

---

Which formula does entry 3 have? MgIn3Fe